# 1
First-principles (PBE) data for a relaxed structure of BeFeTcAs, as listed in OQMD.

Results
The energy relative to the lowest polymorph listed for this composition is 0.3304 eV per atom.

a b c (Å): 5.804 5.804 5.804
angles (deg): 90.00 90.00 90.00
Space group F-43m (No. 216)
Inequivalent atoms, fractional coordinates:
Be  0.000  0.000  0.000 x4
Fe  0.000  0.000  0.500 x4
Tc  0.250  0.250  0.750 x4
As  0.250  0.250  0.250 x4

***

# 2
First-principles (PBE) data for a relaxed structure of ZrNb, as listed in OQMD.

Results
As for the calculated formation energy: 2536 meV/atom.

a b c (Å): 6.105 6.105 6.105
angles (deg): 90.00 90.00 90.00
Space group F-43m (No. 216)
Inequivalent atoms, fractional coordinates:
Zr  0.000  0.000  0.000 x4
Nb  0.250  0.250  0.250 x4

***

# 3
First-principles (PBE) data for a relaxed structure of MgZrGe, as listed in OQMD.

Results
The electronic total energy comes out at -5.0910 eV/atom.

a b c (Å): 6.357 6.357 6.357
angles (deg): 90.00 90.00 90.00
Space group F-43m (No. 216)
Inequivalent atoms, fractional coordinates:
Mg  0.000  0.000  0.000 x4
Zr  0.000  0.000  0.500 x4
Ge  0.250  0.250  0.250 x4

***

# 4
First-principles (PBE) data for a relaxed structure of LiScFeW, as listed in OQMD.

Results
The energy relative to the lowest polymorph listed for this composition is 0.1275 eV per atom.

a b c (Å): 6.115 6.115 6.115
angles (deg): 90.00 90.00 90.00
Space group F-43m (No. 216)
Inequivalent atoms, fractional coordinates:
Li  0.000  0.000  0.000 x4
Sc  0.250  0.250  0.750 x4
Fe  0.250  0.250  0.250 x4
W  0.000  0.000  0.500 x4

***

# 5
First-principles (PBE) data for a relaxed structure of PrDy2Mg3CdIn2, as listed in OQMD.

Results
The electronic total energy comes out at -3.1506 eV/atom.

a b c (Å): 4.684 13.280 7.520
angles (deg): 90.00 90.00 90.00
Space group Amm2 (No. 38)
Inequivalent atoms, fractional coordinates:
Pr  0.000  0.000  0.000 x2
Dy  0.000  0.213  0.636 x4
Mg  0.500  0.000  0.667 x2
Mg  0.500  0.119  0.306 x4
Cd  0.000  0.000  0.435 x2
In  0.500  0.170  0.923 x4

***

# 6
First-principles (PBE) data for a relaxed structure of PuThOs, as listed in OQMD.

Results
As for the calculated formation energy: -72 meV/atom. The energy relative to the lowest polymorph listed for this composition is 0.0000 eV per atom.

a b c (Å): 6.758 6.758 6.758
angles (deg): 90.00 90.00 90.00
Space group F-43m (No. 216)
Inequivalent atoms, fractional coordinates:
Pu  0.000  0.000  0.000 x4
Th  0.000  0.000  0.500 x4
Os  0.250  0.250  0.250 x4

***

# 7
First-principles (PBE) data for a relaxed structure of LaGdSc2Ge2, as listed in OQMD.

Results
The electronic total energy comes out at -5.9652 eV/atom.

a b c (Å): 4.317 4.317 16.014
angles (deg): 90.00 90.00 90.00
Space group I4mm (No. 107)
Inequivalent atoms, fractional coordinates:
La  0.000  0.000  0.000 x2
Gd  0.000  0.000  0.647 x2
Sc  0.000  0.500  0.319 x4
Ge  0.000  0.000  0.199 x2
Ge  0.000  0.000  0.444 x2

***

# 8
First-principles (PBE) data for a relaxed structure of BaNaLuS3, as listed in OQMD.

Results
The energy relative to the lowest polymorph listed for this composition is 0.0093 eV per atom.

a b c (Å): 4.205 13.737 10.296
angles (deg): 90.00 90.00 90.00
Space group Cmcm (No. 63)
Inequivalent atoms, fractional coordinates:
Ba  0.000  0.244  0.250 x4
Na  0.000  0.028  0.750 x4
Lu  0.000  0.500  0.000 x4
S  0.000  0.130  0.542 x8
S  0.000  0.426  0.750 x4